A crystal of BeIrCl2 relaxed with PBEsol, computed with meta-GGA SCAN.

a = 2.953 Å, b = 3.762 Å, c = 7.168 Å
α = 93.61°, β = 90.00°, γ = 113.11°
Element x y z (fractional)
Be (0.714, 0.428, 0.536)
Ir (0.444, 0.887, 0.672)
Cl (0.032, 0.063, 0.934)
Cl (0.311, 0.621, 0.358)

Output
Formation energy without anion corrections (eV per atom): -0.217
Energy relative to the lowest polymorph listed for this composition (eV/atom): 0.000
ρ (g/cm³): 6.2
M_tot (μB per formula unit): 0.0



A crystal of BeIrCl relaxed with PBEsol, computed with meta-GGA SCAN.

a = 2.828 Å, b = 2.828 Å, c = 5.735 Å
α = 104.27°, β = 104.27°, γ = 90.00°
Element x y z (fractional)
Be (0.964, 0.964, 0.928)
Ir (0.357, 0.357, 0.713)
Cl (0.679, 0.679, 0.359)

Output
Formation energy without anion corrections (eV per atom): 0.234
Energy relative to the lowest polymorph listed for this composition (eV/atom): 0.000
ρ (g/cm³): 9.1
M_tot (μB per formula unit): 0.0



A crystal of BeIr3Cl relaxed with PBEsol, computed with meta-GGA SCAN.

a = 4.173 Å, b = 4.173 Å, c = 4.173 Å
α = 90.00°, β = 90.00°, γ = 90.00°
Element x y z (fractional)
Be (0.000, 0.000, 0.000)
Ir (0.000, 0.500, 0.000)
Ir (0.000, 0.000, 0.500)
Ir (0.500, 0.000, 0.000)
Cl (0.500, 0.500, 0.500)

Output
Formation energy without anion corrections (eV per atom): 1.235
ρ (g/cm³): 14.2
M_tot (μB per formula unit): 2.0



A crystal of BeIrCl relaxed with PBEsol, computed with meta-GGA SCAN.

a = 3.954 Å, b = 3.954 Å, c = 3.954 Å
α = 60.00°, β = 60.00°, γ = 60.00°
Element x y z (fractional)
Be (0.500, 0.500, 0.500)
Ir (0.000, 0.000, 0.000)
Cl (0.250, 0.250, 0.250)

Output
Formation energy without anion corrections (eV per atom): 1.443
Energy relative to the lowest polymorph listed for this composition (eV/atom): 1.209
ρ (g/cm³): 9.0
M_tot (μB per formula unit): 0.0